Computed, not measured: a geometry-optimized MnRh2Cl structure at the PBE level of DFT.

abc: 8.3721 8.3721 8.3721
angles: 20.21 20.21 20.21
Positions (direct):
1 Mn 0.0000 0.0000 0.0000
2 Rh 0.2533 0.2533 0.2533
3 Rh 0.5010 0.5010 0.5010
4 Cl 0.7384 0.7384 0.7384

## Properties
Calculated total energy: -25.155 eV/cell
Formation energy (no corrections): 13.6 kJ per mole of atoms
Symmetry: R3m (160)
Distance to the lowest polymorph of the same formula: 66 meV/atom